P | Entry from Alexandria via LeMat-Bulk: a geometry-optimized Ca2TbGa structure (PBE).

M_tot	0.000	μB/atom

Unit cell a=3.523 b=3.523 c=9.797 alpha=90.00 beta=90.00 gamma=90.00
Space group P4/mmm (No. 123)
Symmetry-distinct sites (fractional):
Ca1 0.000 0.000 0.202 [2 per cell]
Tb1 0.500 0.500 0.500 [1 per cell]
Ga1 0.500 0.500 0.000 [1 per cell]

Q | Entry from Alexandria via LeMat-Bulk: a geometry-optimized Ca2TbGa structure (PBE).

M_tot	0.000	μB/atom

Unit cell a=3.6052 b=3.6052 c=36.8161 alpha=90.00 beta=90.00 gamma=120.00
Space group R-3m (No. 166, hexagonal axes)
Symmetry-distinct sites (fractional):
Ca1 0.0000 0.0000 0.0836 [6 per cell]
Tb1 0.0000 0.0000 0.5000 [3 per cell]
Ga1 0.0000 0.0000 0.0000 [3 per cell]

The structure with the most favorable energy is P; the runner-up is 33.2 kJ/mol of atoms above it.

P | Entry from Alexandria via LeMat-Bulk: a geometry-optimized CaGaTc3 structure (PBE).

M_tot	0.648	μB/atom

Unit cell a=4.647 b=4.647 c=4.647 alpha=90.00 beta=90.00 gamma=90.00
Space group Pm-3m (No. 221)
Symmetry-distinct sites (fractional):
Ca1 0.000 0.000 0.000 [1 per cell]
Ga1 0.500 0.500 0.500 [1 per cell]
Tc1 0.000 0.000 0.500 [3 per cell]

Q | Entry from Alexandria via LeMat-Bulk: a geometry-optimized CaGaTc3 structure (PBE).

M_tot	0.694	μB/atom

Unit cell a=4.678 b=4.678 c=4.678 alpha=90.00 beta=90.00 gamma=90.00
Space group Pm-3m (No. 221)
Symmetry-distinct sites (fractional):
Ca1 0.000 0.000 0.000 [1 per cell]
Ga1 0.500 0.500 0.500 [1 per cell]
Tc1 0.000 0.500 0.500 [3 per cell]

The structure with the most favorable energy is Q; the runner-up is 125.2 kJ/mol of atoms above it.

P | Entry from Alexandria via LeMat-Bulk: a geometry-optimized CaGa2Tc structure (PBE).

M_tot	0.193	μB/atom

Unit cell a=4.821 b=4.821 c=17.113 alpha=90.00 beta=90.00 gamma=90.00
Space group I-42d (No. 122)
Symmetry-distinct sites (fractional):
Ca1 0.000 0.000 0.000 [4 per cell]
Ga1 0.075 0.250 0.625 [8 per cell]
Tc1 0.000 0.000 0.500 [4 per cell]

Q | Entry from Alexandria via LeMat-Bulk: a geometry-optimized CaGa2Tc structure (PBE).

M_tot	0.000	μB/atom

Unit cell a=3.332 b=3.332 c=6.613 alpha=90.00 beta=90.00 gamma=90.00
Space group P4/mmm (No. 123)
Symmetry-distinct sites (fractional):
Ca1 0.000 0.000 0.000 [1 per cell]
Ga1 0.500 0.500 0.305 [2 per cell]
Tc1 0.000 0.000 0.500 [1 per cell]

The structure with the most favorable energy is Q; the runner-up is 42.6 kJ/mol of atoms above it.

P | Entry from Alexandria via LeMat-Bulk: a geometry-optimized CaGa3Tc structure (PBE).

M_tot	0.000	μB/atom

Unit cell a=4.827 b=4.827 c=4.827 alpha=90.00 beta=90.00 gamma=90.00
Space group Pm-3m (No. 221)
Symmetry-distinct sites (fractional):
Ca1 0.000 0.000 0.000 [1 per cell]
Ga1 0.000 0.500 0.500 [3 per cell]
Tc1 0.500 0.500 0.500 [1 per cell]

Q | Entry from Alexandria via LeMat-Bulk: a geometry-optimized CaGa3Tc structure (PBE).

M_tot	0.000	μB/atom

Unit cell a=12.172 b=6.538 c=5.076 alpha=90.00 beta=91.63 gamma=90.00
Space group C2/m (No. 12)
Symmetry-distinct sites (fractional):
Ca1 0.155 0.000 0.487 [4 per cell]
Ga1 0.000 0.187 0.000 [4 per cell]
Ga2 0.094 0.500 0.638 [4 per cell]
Ga3 0.250 0.250 0.000 [4 per cell]
Tc1 0.112 0.500 0.150 [4 per cell]

R | Entry from Alexandria via LeMat-Bulk: a geometry-optimized CaGa3Tc structure (PBE).

M_tot	0.000	μB/atom

Unit cell a=5.130 b=5.130 c=5.130 alpha=90.00 beta=90.00 gamma=90.00
Space group Pm-3m (No. 221)
Symmetry-distinct sites (fractional):
Ca1 0.000 0.000 0.000 [1 per cell]
Ga1 0.000 0.000 0.500 [3 per cell]
Tc1 0.500 0.500 0.500 [1 per cell]

The structure with the most favorable energy is Q; the runner-up is 7.5 kJ/mol of atoms above it.

P | Entry from Alexandria via LeMat-Bulk: a geometry-optimized CaGa3Te structure (PBE).

M_tot	0.000	μB/atom

Unit cell a=5.551 b=5.551 c=5.551 alpha=90.00 beta=90.00 gamma=90.00
Space group Pm-3m (No. 221)
Symmetry-distinct sites (fractional):
Ca1 0.000 0.000 0.000 [1 per cell]
Ga1 0.000 0.500 0.500 [3 per cell]
Te1 0.500 0.500 0.500 [1 per cell]

Q | Entry from Alexandria via LeMat-Bulk: a geometry-optimized CaGa3Te structure (PBE).

M_tot	0.000	μB/atom

Unit cell a=5.587 b=5.587 c=5.587 alpha=90.00 beta=90.00 gamma=90.00
Space group Pm-3m (No. 221)
Symmetry-distinct sites (fractional):
Ca1 0.000 0.000 0.000 [1 per cell]
Ga1 0.000 0.000 0.500 [3 per cell]
Te1 0.500 0.500 0.500 [1 per cell]

The structure with the most favorable energy is P; the runner-up is 25.7 kJ/mol of atoms above it.

P | Entry from Alexandria via LeMat-Bulk: a geometry-optimized CaGa2Te2 structure (PBE).

M_tot	0.000	μB/atom

Unit cell a=4.086 b=4.086 c=16.739 alpha=90.00 beta=90.00 gamma=90.00
Space group I4/mmm (No. 139)
Symmetry-distinct sites (fractional):
Ca1 0.000 0.000 0.000 [2 per cell]
Ga1 0.000 0.500 0.250 [4 per cell]
Te1 0.000 0.000 0.401 [4 per cell]

Q | Entry from Alexandria via LeMat-Bulk: a geometry-optimized CaGa2Te2 structure (PBE).

M_tot	0.000	μB/atom

Unit cell a=5.632 b=5.632 c=8.642 alpha=90.00 beta=90.00 gamma=90.00
Space group I4/mmm (No. 139)
Symmetry-distinct sites (fractional):
Ca1 0.000 0.000 0.000 [2 per cell]
Ga1 0.000 0.000 0.353 [4 per cell]
Te1 0.000 0.500 0.250 [4 per cell]

The structure with the most favorable energy is P; the runner-up is 1.4 kJ/mol of atoms above it.

P | Entry from Alexandria via LeMat-Bulk: a geometry-optimized Ca2GaTe structure (PBE).

M_tot	0.000	μB/atom

Unit cell a=7.645 b=7.645 c=7.645 alpha=90.00 beta=90.00 gamma=90.00
Space group Fm-3m (No. 225)
Symmetry-distinct sites (fractional):
Ca1 0.250 0.250 0.250 [8 per cell]
Ga1 0.000 0.000 0.000 [4 per cell]
Te1 0.000 0.000 0.500 [4 per cell]

Q | Entry from Alexandria via LeMat-Bulk: a geometry-optimized Ca2GaTe structure (PBE).

M_tot	0.000	μB/atom

Unit cell a=5.308 b=5.308 c=3.946 alpha=90.00 beta=90.00 gamma=90.00
Space group P4/mmm (No. 123)
Symmetry-distinct sites (fractional):
Ca1 0.000 0.500 0.000 [2 per cell]
Ga1 0.000 0.000 0.500 [1 per cell]
Te1 0.500 0.500 0.500 [1 per cell]

The structure with the most favorable energy is Q; the runner-up is 9.7 kJ/mol of atoms above it.

P | Entry from Alexandria via LeMat-Bulk: a geometry-optimized CaTi3Ga structure (PBE).

M_tot	0.553	μB/atom

Unit cell a=4.672 b=4.672 c=4.672 alpha=90.00 beta=90.00 gamma=90.00
Space group Pm-3m (No. 221)
Symmetry-distinct sites (fractional):
Ca1 0.000 0.000 0.000 [1 per cell]
Ti1 0.000 0.000 0.500 [3 per cell]
Ga1 0.500 0.500 0.500 [1 per cell]

Q | Entry from Alexandria via LeMat-Bulk: a geometry-optimized CaTi3Ga structure (PBE).

M_tot	0.503	μB/atom

Unit cell a=4.909 b=4.909 c=4.909 alpha=90.00 beta=90.00 gamma=90.00
Space group Pm-3m (No. 221)
Symmetry-distinct sites (fractional):
Ca1 0.000 0.000 0.000 [1 per cell]
Ti1 0.000 0.500 0.500 [3 per cell]
Ga1 0.500 0.500 0.500 [1 per cell]

The structure with the most favorable energy is Q; the runner-up is 103.3 kJ/mol of atoms above it.

P | Entry from Alexandria via LeMat-Bulk: a geometry-optimized CaTiGa3 structure (PBE).

M_tot	0.000	μB/atom

Unit cell a=5.163 b=5.163 c=5.163 alpha=90.00 beta=90.00 gamma=90.00
Space group Pm-3m (No. 221)
Symmetry-distinct sites (fractional):
Ca1 0.000 0.000 0.000 [1 per cell]
Ti1 0.500 0.500 0.500 [1 per cell]
Ga1 0.000 0.000 0.500 [3 per cell]

Q | Entry from Alexandria via LeMat-Bulk: a geometry-optimized CaTiGa3 structure (PBE).

M_tot	0.154	μB/atom

Unit cell a=4.957 b=4.957 c=4.957 alpha=90.00 beta=90.00 gamma=90.00
Space group Pm-3m (No. 221)
Symmetry-distinct sites (fractional):
Ca1 0.000 0.000 0.000 [1 per cell]
Ti1 0.500 0.500 0.500 [1 per cell]
Ga1 0.000 0.500 0.500 [3 per cell]

The structure with the most favorable energy is Q; the runner-up is 113.0 kJ/mol of atoms above it.

P | Entry from Alexandria via LeMat-Bulk: a geometry-optimized Ca2TlGa2 structure (PBE).

M_tot	0.000	μB/atom

Unit cell a=8.702 b=8.702 c=3.651 alpha=90.00 beta=90.00 gamma=90.00
Space group P4/mbm (No. 127)
Symmetry-distinct sites (fractional):
Ca1 0.183 0.317 0.000 [4 per cell]
Tl1 0.000 0.000 0.000 [2 per cell]
Ga1 0.109 0.609 0.500 [4 per cell]

Q | Entry from Alexandria via LeMat-Bulk: a geometry-optimized Ca2TlGa2 structure (PBE).

M_tot	0.000	μB/atom

Unit cell a=3.770 b=3.770 c=19.125 alpha=90.00 beta=90.00 gamma=90.00
Space group I4/mmm (No. 139)
Symmetry-distinct sites (fractional):
Ca1 0.000 0.000 0.108 [4 per cell]
Tl1 0.000 0.000 0.500 [2 per cell]
Ga1 0.000 0.500 0.250 [4 per cell]

The structure with the most favorable energy is Q; the runner-up is 3.1 kJ/mol of atoms above it.

P | Entry from Alexandria via LeMat-Bulk: a geometry-optimized Ca2TlGa2 structure (PBE).

M_tot	0.000	μB/atom

Unit cell a=5.856 b=5.856 c=8.577 alpha=90.00 beta=90.00 gamma=90.00
Space group I4/mmm (No. 139)
Symmetry-distinct sites (fractional):
Ca1 0.000 0.500 0.250 [4 per cell]
Tl1 0.000 0.000 0.000 [2 per cell]
Ga1 0.000 0.000 0.358 [4 per cell]

Q | Entry from Alexandria via LeMat-Bulk: a geometry-optimized Ca2TlGa2 structure (PBE).

M_tot	0.000	μB/atom

Unit cell a=8.047 b=8.047 c=4.009 alpha=90.00 beta=90.00 gamma=90.00
Space group P4/mbm (No. 127)
Symmetry-distinct sites (fractional):
Ca1 0.181 0.319 0.000 [4 per cell]
Tl1 0.000 0.000 0.500 [2 per cell]
Ga1 0.114 0.614 0.500 [4 per cell]

The structure with the most favorable energy is Q; the runner-up is 21.1 kJ/mol of atoms above it.

P | Entry from Alexandria via LeMat-Bulk: a geometry-optimized Ca4TlGa structure (PBE).

M_tot	0.000	μB/atom

Unit cell a=9.460 b=14.336 c=6.045 alpha=90.00 beta=110.38 gamma=90.00
Space group C2/c (No. 15)
Symmetry-distinct sites (fractional):
Ca1 0.118 0.176 0.065 [8 per cell]
Ca2 0.201 0.427 0.343 [8 per cell]
Tl1 0.000 0.368 0.750 [4 per cell]
Ga1 0.000 0.002 0.250 [4 per cell]

Q | Entry from Alexandria via LeMat-Bulk: a geometry-optimized Ca4TlGa structure (PBE).

M_tot	0.316	μB/atom

Unit cell a=5.288 b=5.288 c=7.562 alpha=90.00 beta=90.00 gamma=90.00
Space group P4/mmm (No. 123)
Symmetry-distinct sites (fractional):
Ca1 0.000 0.500 0.240 [4 per cell]
Tl1 0.000 0.000 0.500 [1 per cell]
Ga1 0.500 0.500 0.000 [1 per cell]

The structure with the most favorable energy is P; the runner-up is 10.0 kJ/mol of atoms above it.